(1)
{
  "formula": "Rb2BrCl",
  "functional": "PBE",
  "state": "relaxed",
  "e_above_lowest_polymorph_ev_per_atom": 0.0226,
  "total_energy_ev_per_atom": -3.19,
  "cell": [[4.719, 0.000, 0.000], [2.360, 4.087, 0.000], [2.360, 1.362, 8.349]],
  "species": ["Rb", "Rb", "Br", "Cl"],
  "fractional_positions": [[0.079, 0.079, 0.764], [0.255, 0.255, 0.236], [0.499, 0.499, 0.503], [0.668, 0.668, 0.997]]
}



(2)
{
  "formula": "RbBrCl3",
  "functional": "PBE",
  "state": "relaxed",
  "e_above_lowest_polymorph_ev_per_atom": 0.2878,
  "total_energy_ev_per_atom": -2.18,
  "cell": [[-2.476, -6.351, 6.112], [5.308, -5.825, 4.660], [1.694, -0.244, 8.994]],
  "species": ["Br", "Br", "Rb", "Rb", "Cl", "Cl", "Cl", "Cl", "Cl", "Cl"],
  "fractional_positions": [[0.250, 0.250, 0.250], [0.750, 0.750, 0.750], [0.000, 0.000, 0.000], [0.500, 0.500, 0.500], [0.930, 0.570, 0.250], [0.570, 0.250, 0.930], [0.250, 0.930, 0.570], [0.750, 0.070, 0.430], [0.430, 0.750, 0.070], [0.070, 0.430, 0.750]]
}



(3)
{
  "formula": "Rb3BrCl2",
  "functional": "PBE",
  "state": "relaxed",
  "e_above_lowest_polymorph_ev_per_atom": 0.0000,
  "total_energy_ev_per_atom": -3.26,
  "cell": [[4.779, 0.000, 0.000], [0.000, 6.814, 0.000], [-2.389, -3.407, 7.244]],
  "species": ["Rb", "Rb", "Rb", "Br", "Cl", "Cl"],
  "fractional_positions": [[0.823, 0.323, 0.147], [0.177, 0.677, 0.853], [0.500, 0.000, 0.500], [0.500, 0.500, 0.500], [0.835, 0.835, 0.170], [0.165, 0.165, 0.830]]
}



(4)
{
  "formula": "RbBrCl3",
  "functional": "PBE",
  "state": "relaxed",
  "e_above_lowest_polymorph_ev_per_atom": 0.0642,
  "total_energy_ev_per_atom": -2.41,
  "cell": [[7.039, 0.000, 0.000], [0.000, 10.945, 0.000], [0.000, 0.000, 9.281]],
  "species": ["Br", "Br", "Br", "Br", "Rb", "Rb", "Rb", "Rb", "Cl", "Cl", "Cl", "Cl", "Cl", "Cl", "Cl", "Cl", "Cl", "Cl", "Cl", "Cl"],
  "fractional_positions": [[0.000, 0.000, 0.500], [0.500, 0.500, 0.000], [0.500, 0.000, 0.000], [0.000, 0.500, 0.500], [0.508, 0.250, 0.445], [0.992, 0.750, 0.945], [0.492, 0.750, 0.555], [0.008, 0.250, 0.055], [0.219, 0.019, 0.857], [0.281, 0.519, 0.357], [0.281, 0.981, 0.357], [0.781, 0.519, 0.143], [0.781, 0.981, 0.143], [0.719, 0.481, 0.643], [0.719, 0.019, 0.643], [0.219, 0.481, 0.857], [0.503, 0.250, 0.040], [0.997, 0.750, 0.540], [0.497, 0.750, 0.960], [0.003, 0.250, 0.460]]
}



(5)
{
  "formula": "Rb7BrCl5",
  "functional": "PBE",
  "state": "relaxed",
  "total_energy_ev_per_atom": -3.07,
  "cell": [[4.755, 0.000, 0.000], [-2.378, 7.958, -0.013], [0.000, -0.115, 28.939]],
  "species": ["Rb", "Rb", "Rb", "Rb", "Rb", "Rb", "Rb", "Rb", "Rb", "Rb", "Rb", "Rb", "Rb", "Rb", "Br", "Br", "Cl", "Cl", "Cl", "Cl", "Cl", "Cl", "Cl", "Cl", "Cl", "Cl"],
  "fractional_positions": [[0.450, 0.900, 0.250], [0.550, 0.101, 0.750], [0.638, 0.275, 0.034], [0.363, 0.727, 0.966], [0.364, 0.728, 0.534], [0.636, 0.273, 0.466], [0.174, 0.348, 0.175], [0.827, 0.654, 0.825], [0.829, 0.657, 0.675], [0.172, 0.343, 0.326], [0.912, 0.824, 0.103], [0.089, 0.178, 0.897], [0.090, 0.181, 0.604], [0.910, 0.820, 0.396], [0.774, 0.547, 0.252], [0.227, 0.454, 0.748], [0.000, 0.001, 0.000], [0.728, 0.455, 0.928], [0.273, 0.546, 0.072], [0.541, 0.082, 0.363], [0.459, 0.919, 0.637], [0.000, 0.000, 0.500], [0.272, 0.544, 0.428], [0.728, 0.456, 0.572], [0.458, 0.915, 0.863], [0.543, 0.087, 0.137]]
}



(6)
{
  "formula": "RbBrCl3",
  "functional": "PBE",
  "state": "relaxed",
  "e_above_lowest_polymorph_ev_per_atom": 0.0275,
  "total_energy_ev_per_atom": -2.44,
  "cell": [[-5.956, -10.473, 0.558], [4.266, -3.485, 2.385], [1.680, -3.783, 7.951]],
  "species": ["Rb", "Rb", "Br", "Br", "Cl", "Cl", "Cl", "Cl", "Cl", "Cl"],
  "fractional_positions": [[0.169, 0.655, 0.057], [0.768, 0.857, 0.273], [0.509, 0.077, 0.501], [0.365, 0.013, 0.197], [0.697, 0.117, 0.508], [0.031, 0.231, 0.027], [0.417, 0.035, 0.921], [0.945, 0.260, 0.543], [0.309, 0.021, 0.502], [0.988, 0.263, 0.772]]
}



(7)
{
  "formula": "RbBrCl3",
  "functional": "PBE",
  "state": "relaxed",
  "e_above_lowest_polymorph_ev_per_atom": 0.0000,
  "total_energy_ev_per_atom": -2.47,
  "cell": [[-5.029, -0.579, 2.090], [-3.644, -3.521, -5.447], [1.702, -8.799, 2.401]],
  "species": ["Rb", "Rb", "Br", "Br", "Cl", "Cl", "Cl", "Cl", "Cl", "Cl"],
  "fractional_positions": [[0.306, 0.945, 0.234], [0.800, 0.272, 0.716], [0.047, 0.590, 0.979], [0.355, 0.410, 0.404], [0.996, 0.630, 0.447], [0.333, 0.778, 0.759], [0.273, 0.284, 0.930], [0.520, 0.928, 0.597], [0.737, 0.162, 0.372], [0.830, 0.893, 0.024]]
}



(8)
{
  "formula": "Rb2Br3Cl6",
  "functional": "PBE",
  "state": "relaxed",
  "total_energy_ev_per_atom": -2.37,
  "cell": [[5.680, 0.000, 1.585], [2.443, 9.425, 2.217], [-1.578, 0.343, 16.629]],
  "species": ["Rb", "Rb", "Rb", "Rb", "Br", "Br", "Br", "Br", "Br", "Br", "Cl", "Cl", "Cl", "Cl", "Cl", "Cl", "Cl", "Cl", "Cl", "Cl", "Cl", "Cl"],
  "fractional_positions": [[0.358, 0.804, 0.991], [0.848, 0.304, 0.491], [0.642, 0.196, 0.009], [0.152, 0.696, 0.509], [0.941, 0.950, 0.750], [0.247, 0.250, 0.750], [0.641, 0.550, 0.750], [0.359, 0.450, 0.250], [0.059, 0.050, 0.250], [0.753, 0.750, 0.250], [0.852, 0.915, 0.899], [0.207, 0.187, 0.897], [0.616, 0.521, 0.895], [0.334, 0.415, 0.399], [0.968, 0.021, 0.395], [0.709, 0.687, 0.397], [0.148, 0.085, 0.101], [0.793, 0.813, 0.103], [0.384, 0.479, 0.105], [0.666, 0.585, 0.601], [0.032, 0.979, 0.605], [0.291, 0.313, 0.603]]
}



(9)
{
  "formula": "Rb2BrCl2",
  "functional": "PBE",
  "state": "relaxed",
  "e_above_lowest_polymorph_ev_per_atom": 0.0539,
  "total_energy_ev_per_atom": -2.83,
  "cell": [[8.936, 0.000, 0.000], [0.000, 8.936, 0.000], [0.000, 0.000, 4.320]],
  "species": ["Br", "Br", "Rb", "Rb", "Rb", "Rb", "Cl", "Cl", "Cl", "Cl"],
  "fractional_positions": [[0.000, 0.000, 0.000], [0.500, 0.500, 0.000], [0.159, 0.659, 0.500], [0.659, 0.841, 0.500], [0.841, 0.341, 0.500], [0.341, 0.159, 0.500], [0.353, 0.853, 0.000], [0.853, 0.647, 0.000], [0.647, 0.147, 0.000], [0.147, 0.353, 0.000]]
}



(10)
{
  "formula": "RbBrCl3",
  "functional": "PBE",
  "state": "relaxed",
  "e_above_lowest_polymorph_ev_per_atom": 0.0257,
  "total_energy_ev_per_atom": -2.45,
  "cell": [[-3.649, -6.886, 0.264], [5.024, -1.392, 2.620], [-4.602, 3.819, 7.248]],
  "species": ["Rb", "Rb", "Br", "Br", "Cl", "Cl", "Cl", "Cl", "Cl", "Cl"],
  "fractional_positions": [[0.992, 0.268, 0.255], [0.385, 0.142, 0.714], [0.570, 0.723, 0.987], [0.525, 0.279, 0.285], [0.141, 0.841, 0.395], [0.057, 0.437, 0.776], [0.359, 0.399, 0.072], [0.095, 0.630, 0.596], [0.675, 0.159, 0.476], [0.754, 0.014, 0.905]]
}



(11)
{
  "formula": "RbBrCl3",
  "functional": "PBE",
  "state": "relaxed",
  "e_above_lowest_polymorph_ev_per_atom": 0.1100,
  "total_energy_ev_per_atom": -2.36,
  "cell": [[-18.991, -1.272, -1.171], [-5.983, 1.059, -4.730], [6.472, -4.168, 0.178]],
  "species": ["Br", "Br", "Rb", "Rb", "Cl", "Cl", "Cl", "Cl", "Cl", "Cl"],
  "fractional_positions": [[0.893, 0.979, 0.021], [0.107, 0.021, 0.979], [0.765, 0.888, 0.112], [0.235, 0.112, 0.888], [0.722, 0.301, 0.699], [0.278, 0.699, 0.301], [0.897, 0.472, 0.528], [0.103, 0.528, 0.472], [0.571, 0.595, 0.405], [0.429, 0.405, 0.595]]
}



(12)
{
  "formula": "RbBrCl3",
  "functional": "PBE",
  "state": "relaxed",
  "e_above_lowest_polymorph_ev_per_atom": 0.2487,
  "total_energy_ev_per_atom": -2.22,
  "cell": [[-3.675, 3.516, 1.605], [-2.395, -0.333, -4.753], [-10.459, -8.191, 2.854]],
  "species": ["Br", "Br", "Rb", "Rb", "Cl", "Cl", "Cl", "Cl", "Cl", "Cl"],
  "fractional_positions": [[0.000, 0.000, 0.000], [0.250, 0.750, 0.500], [0.656, 0.156, 0.688], [0.844, 0.344, 0.312], [0.632, 0.900, 0.200], [0.100, 0.368, 0.800], [0.100, 0.831, 0.800], [0.169, 0.900, 0.200], [0.252, 0.252, 0.496], [0.748, 0.748, 0.504]]
}



(13)
{
  "formula": "Rb2BrCl",
  "functional": "PBE",
  "state": "relaxed",
  "e_above_lowest_polymorph_ev_per_atom": 0.0900,
  "total_energy_ev_per_atom": -3.12,
  "cell": [[7.700, 0.000, 0.000], [0.000, 7.700, 0.000], [3.850, 3.850, 7.408]],
  "species": ["Br", "Br", "Rb", "Rb", "Rb", "Rb", "Cl", "Cl"],
  "fractional_positions": [[0.000, 0.000, 0.000], [0.750, 0.250, 0.500], [0.607, 0.125, 0.250], [0.143, 0.625, 0.250], [0.375, 0.393, 0.750], [0.875, 0.857, 0.750], [0.500, 0.500, 0.000], [0.250, 0.750, 0.500]]
}



(14)
{
  "formula": "Rb4BrCl3",
  "functional": "PBE",
  "state": "relaxed",
  "total_energy_ev_per_atom": -3.28,
  "cell": [[1.402, 5.351, -3.920], [5.339, -3.288, -2.579], [-7.301, -3.581, -1.637]],
  "species": ["Br", "Rb", "Rb", "Rb", "Rb", "Cl", "Cl", "Cl"],
  "fractional_positions": [[0.000, 0.000, 0.000], [0.000, 0.500, 0.000], [0.500, 0.000, 0.000], [0.258, 0.258, 0.516], [0.742, 0.742, 0.484], [0.500, 0.500, 0.000], [0.750, 0.250, 0.500], [0.250, 0.750, 0.500]]
}



(15)
{
  "formula": "RbBrCl3",
  "functional": "PBE",
  "state": "relaxed",
  "e_above_lowest_polymorph_ev_per_atom": 0.0178,
  "total_energy_ev_per_atom": -2.45,
  "cell": [[8.978, 0.166, -0.124], [0.370, 5.618, -0.171], [1.742, -2.725, 7.405]],
  "species": ["Rb", "Rb", "Br", "Br", "Cl", "Cl", "Cl", "Cl", "Cl", "Cl"],
  "fractional_positions": [[0.235, 0.557, 0.859], [0.841, 0.656, 0.474], [0.403, 0.815, 0.434], [0.435, 0.088, 0.063], [0.543, 0.122, 0.575], [0.954, 0.035, 0.172], [0.600, 0.712, 0.882], [0.979, 0.219, 0.652], [0.244, 0.499, 0.277], [0.964, 0.127, 0.915]]
}



(16)
{
  "formula": "RbBrCl3",
  "functional": "PBE",
  "state": "relaxed",
  "e_above_lowest_polymorph_ev_per_atom": 0.0672,
  "total_energy_ev_per_atom": -2.40,
  "cell": [[4.445, -11.093, 0.000], [4.445, 11.093, 0.000], [0.000, 0.000, 4.922]],
  "species": ["Br", "Br", "Rb", "Rb", "Cl", "Cl", "Cl", "Cl", "Cl", "Cl"],
  "fractional_positions": [[0.325, 0.675, 0.250], [0.675, 0.325, 0.750], [0.145, 0.855, 0.250], [0.855, 0.145, 0.750], [0.055, 0.407, 0.250], [0.593, 0.945, 0.250], [0.407, 0.055, 0.750], [0.945, 0.593, 0.750], [0.000, 0.000, 0.000], [0.000, 0.000, 0.500]]
}



(17)
{
  "formula": "Rb2BrCl",
  "functional": "PBE",
  "state": "relaxed",
  "e_above_lowest_polymorph_ev_per_atom": 0.0000,
  "total_energy_ev_per_atom": -3.21,
  "cell": [[4.814, -0.002, -0.005], [-2.407, 4.169, 0.005], [-2.401, -1.392, 8.032]],
  "species": ["Rb", "Rb", "Br", "Cl"],
  "fractional_positions": [[0.508, 0.254, 0.763], [0.492, 0.746, 0.237], [0.000, 0.500, 0.500], [0.000, 0.000, 0.000]]
}



(18)
{
  "formula": "RbBrCl3",
  "functional": "PBE",
  "state": "relaxed",
  "e_above_lowest_polymorph_ev_per_atom": 0.1889,
  "total_energy_ev_per_atom": -2.28,
  "cell": [[-2.344, 7.352, 2.331], [-10.501, -2.208, -3.595], [-1.982, -3.064, 7.672]],
  "species": ["Br", "Br", "Br", "Br", "Rb", "Rb", "Rb", "Rb", "Cl", "Cl", "Cl", "Cl", "Cl", "Cl", "Cl", "Cl", "Cl", "Cl", "Cl", "Cl"],
  "fractional_positions": [[0.537, 0.250, 0.479], [0.963, 0.750, 0.979], [0.463, 0.750, 0.521], [0.037, 0.250, 0.021], [0.000, 0.000, 0.500], [0.500, 0.500, 0.000], [0.500, 0.000, 0.000], [0.000, 0.500, 0.500], [0.152, 0.904, 0.839], [0.348, 0.404, 0.339], [0.348, 0.096, 0.339], [0.848, 0.404, 0.161], [0.848, 0.096, 0.161], [0.652, 0.596, 0.661], [0.652, 0.904, 0.661], [0.152, 0.596, 0.839], [0.766, 0.250, 0.650], [0.734, 0.750, 0.150], [0.234, 0.750, 0.350], [0.266, 0.250, 0.850]]
}



(19)
{
  "formula": "RbBr2Cl",
  "functional": "PBE",
  "state": "relaxed",
  "e_above_lowest_polymorph_ev_per_atom": 0.0983,
  "total_energy_ev_per_atom": -2.41,
  "cell": [[3.308, 0.000, 7.445], [-1.654, 2.865, 7.445], [-1.654, -2.865, 7.445]],
  "species": ["Br", "Br", "Rb", "Cl"],
  "fractional_positions": [[0.890, 0.890, 0.890], [0.110, 0.110, 0.110], [0.500, 0.500, 0.500], [0.000, 0.000, 0.000]]
}



(20)
{
  "formula": "RbBrCl3",
  "functional": "PBE",
  "state": "relaxed",
  "e_above_lowest_polymorph_ev_per_atom": 0.1920,
  "total_energy_ev_per_atom": -2.28,
  "cell": [[0.063, 2.757, -4.634], [2.544, -6.809, -4.017], [-8.672, -4.363, 1.904]],
  "species": ["Br", "Br", "Rb", "Rb", "Cl", "Cl", "Cl", "Cl", "Cl", "Cl"],
  "fractional_positions": [[0.986, 0.250, 0.289], [0.014, 0.750, 0.711], [0.872, 0.250, 0.776], [0.128, 0.750, 0.224], [0.254, 0.510, 0.000], [0.746, 0.490, 0.000], [0.254, 0.990, 0.000], [0.746, 0.010, 0.000], [0.193, 0.250, 0.534], [0.807, 0.750, 0.466]]
}



(21)
{
  "formula": "Rb5Br3Cl2",
  "functional": "PBE",
  "state": "relaxed",
  "total_energy_ev_per_atom": -3.11,
  "cell": [[-0.879, 3.149, 3.305], [-0.698, -4.831, 7.686], [9.565, 1.685, 4.209]],
  "species": ["Rb", "Rb", "Rb", "Rb", "Rb", "Br", "Br", "Br", "Cl", "Cl"],
  "fractional_positions": [[0.000, 0.000, 0.000], [0.103, 0.204, 0.590], [0.897, 0.796, 0.410], [0.713, 0.371, 0.203], [0.287, 0.629, 0.797], [0.500, 0.500, 0.500], [0.115, 0.644, 0.126], [0.885, 0.356, 0.874], [0.325, 0.073, 0.277], [0.675, 0.927, 0.723]]
}